# La3Pm2PuS6

A geometry-optimized La3Pm2PuS6 structure (GGA-PBE, Alexandria via LeMat-Bulk).

The space group is C2/m (No. 12) and the conventional cell measures 17.807, 4.067 and 8.197 Å, with angles of 90.00, 103.45 and 90.00 degrees. The inequivalent atoms are La at (0.000, 0.000, 0.000), La at (0.167, 0.500, 0.335), Pm at (0.165, 0.500, 0.830), Pu at (0.000, 0.000, 0.500), S at (0.001, 0.500, 0.741), S at (0.163, 0.000, 0.587) and S at (0.169, 0.000, 0.079).

The value obtained for the calculated volume is 577.3 Å³ per cell. Its total energy is -7.349 eV/atom. The calculation puts the raw formation energy at -2.07 eV per atom.